## NbAgSO (PBE-GGA)

Data for crystalline NbAgSO at its relaxed geometry.

Unit cell a=7.4783 b=8.1102 c=4.8244 alpha=90.00 beta=90.00 gamma=90.00
Fractional positions:
Ag: 0.3290 0.2136 0.0625
Ag: 0.8290 0.7864 0.0625
Ag: 0.1710 0.2136 0.5625
Ag: 0.6710 0.7864 0.5625
Nb: 0.9527 0.2956 0.0625
Nb: 0.4527 0.7044 0.0625
Nb: 0.5473 0.2956 0.5625
Nb: 0.0473 0.7044 0.5625
O: 0.9031 0.0850 0.0626
O: 0.4031 0.9150 0.0626
O: 0.5969 0.0850 0.5626
O: 0.0969 0.9150 0.5626
S: 0.6224 0.3901 0.0625
S: 0.1224 0.6099 0.0625
S: 0.8776 0.3901 0.5625
S: 0.3776 0.6099 0.5625

Properties
Electronic total energy = -101.148 eV per cell
Magnetization = 0.000 μB/atom


## PrNdCo2C4 (PBE-GGA)

Data for crystalline PrNdCo2C4 at its relaxed geometry.

Unit cell a=3.8112 b=3.8152 c=7.4138 alpha=98.24 beta=98.32 gamma=90.04
Fractional positions:
C: 0.5949 0.4433 0.0739
C: 0.8517 0.4901 0.2262
C: 0.4432 0.5946 0.5732
C: 0.4899 0.8529 0.7245
Co: 0.3731 0.5129 0.3062
Co: 0.5131 0.3731 0.8048
Nd: 0.9287 0.0718 0.4987
Pr: 0.0724 0.9284 0.9988

Properties
Electronic total energy = -62.695 eV per cell
Magnetization = 0.001 μB/atom


## CdAgAs2 (PBE-GGA)

Data for crystalline CdAgAs2 at its relaxed geometry.

Unit cell a=4.8519 b=4.8519 c=4.8519 alpha=60.00 beta=60.00 gamma=60.00
Fractional positions:
Ag: 0.7500 0.7500 0.7500
As: 0.2500 0.2500 0.2500
As: 0.5000 0.5000 0.5000
Cd: 0.0000 0.0000 0.0000

Properties
Electronic total energy = -11.827 eV per cell